{
  "formula": "NaSrLiC2",
  "functional": "PBEsol",
  "state": "relaxed",
  "formation_enthalpy_0k_ev_per_atom": 2.16,
  "energy_ev_per_atom": -2.738,
  "dos_ef_per_ev_fu": 3.3,
  "rho_g_cm3": 2.0,
  "cell": [[-2.7771, 3.4731, -1.6557], [-3.6472, -1.7258, 2.4973], [1.3351, 2.9784, 4.0081]],
  "species": ["Sr", "C", "C", "Li", "Na"],
  "frac_coords": [[0.0000, 0.0000, 0.0000], [0.0000, 0.5000, 0.0000], [0.5000, 0.0000, 0.0000], [0.0000, 0.0000, 0.5000], [0.5000, 0.5000, 0.5000]]
}